First-principles (GGA-PBE) data for ZrSF2 after structural relaxation, as listed in Alexandria via LeMat-Bulk.

Unit cell a=2.9034 b=2.9034 c=30.7117 alpha=90.00 beta=90.00 gamma=120.00
Closest atoms and distances in Å follow each position.
Space group R-3m (No. 166, hexagonal axes)
Asymmetric unit:
1 Zr 0.0000 0.0000 0.0000  6 F 2.25
2 S 0.0000 0.0000 0.5000  6 S 2.90
3 F 0.0000 0.0000 0.3823  3 Zr 2.25

Computed properties:
Polymorph energy (0 for the lowest one) = 1054 meV/atom
M_tot = 0.95 μB/cell
D(E_F) = 5.42 states/eV per cell
E_form (uncorrected) = -6.65 eV per formula unit
Volume = 18.68 Å³/atom